Entry 1:
Entry from the Alexandria database: a geometry-optimized AuCl3 structure (PBE-GGA).

Calculated values
space-group type	P2/m (10)
total moment	0.0	μB/f.u.
D(E_F)	0.228	states/eV per atom
energy relative to the elements, uncorrected	-0.0341	eV per atom

Unit cell a=5.3220 b=3.6031 c=5.3693 alpha=90.00 beta=95.27 gamma=90.00
Atoms (fractional coordinates):
1 Au 0.0000 0.0000 0.0000
2 Cl 0.2019 0.5000 0.7971
3 Cl 0.5000 0.0000 0.5000
4 Cl 0.7981 0.5000 0.2029

---

Entry 2:
Entry from the Alexandria database: a geometry-optimized Dy5Sb4S structure (PBE-GGA).

Calculated values
E above lowest polymorph	17	meV/atom
space-group type	I4/mmm (139)
total moment	0.0	μB/f.u.
D(E_F)	0.203	states/eV per atom
energy relative to the elements, uncorrected	-1.2639	eV per atom

Unit cell a=15.4543 b=15.4543 c=15.4543 alpha=163.95 beta=163.95 gamma=22.77
Atoms (fractional coordinates):
1 Dy 0.0000 0.0000 0.0000
2 Dy 0.2009 0.2009 0.0000
3 Dy 0.4072 0.4072 0.0000
4 Dy 0.5928 0.5928 0.0000
5 Dy 0.7991 0.7991 0.0000
6 Sb 0.0987 0.0987 0.0000
7 Sb 0.3032 0.3032 0.0000
8 Sb 0.6968 0.6968 0.0000
9 Sb 0.9013 0.9013 0.0000
10 S 0.5000 0.5000 0.0000

---

The lowest energy relative to the elements, uncorrected belongs to which entry?
Dy5Sb4S